No. 1
DFT (PBE) results for an optimized crystal structure of TmPu2Au.

Values from the calculation:
Density = 13.26 g cm⁻³
VASP energy = -9.069 eV/atom

Cell: 3.4102 3.4102 31.8531 Å, 90.00 90.00 120.00°
Space group R-3m (No. 166, hexagonal axes)
Unique sites:
Tm 0.0000 0.0000 0.0000 x3
Pu 0.0000 0.0000 0.2421 x6
Au 0.0000 0.0000 0.5000 x3


No. 2
DFT (PBE) results for an optimized crystal structure of HgRu2.

Values from the calculation:
Density = 13.89 g cm⁻³
VASP energy = -5.720 eV/atom

Cell: 2.889 14.277 4.669 Å, 90.00 90.00 90.00°
Space group Cmcm (No. 63)
Unique sites:
Hg 0.000 0.107 0.250 x4
Ru 0.000 0.219 0.750 x4
Ru 0.000 0.436 0.250 x4